Entry 1:
## SrTe3W (GGA-PBEsol)

Data for SrTe3W after structural relaxation.

a = 5.3539 Å, b = 5.3539 Å, c = 5.3539 Å
α = 90.00°, β = 90.00°, γ = 90.00°
Closest atoms and distances in Å follow each position.
Fractional coordinates of all 5 atoms:
W 0.0000 0.0000 0.0000  6 Te 2.68
Te 0.0000 0.5000 0.0000  2 W 2.68
Te 0.0000 0.0000 0.5000  2 W 2.68
Te 0.5000 0.0000 0.0000  2 W 2.68
Sr 0.5000 0.5000 0.5000  12 Te 3.79

Properties
Symmetry = No. 221



Entry 2:
## SrTe2W (GGA-PBEsol)

Data for SrTe2W after structural relaxation.

a = 4.1554 Å, b = 4.1554 Å, c = 6.5295 Å
α = 90.00°, β = 90.00°, γ = 90.00°
Closest atoms and distances in Å follow each position.
Fractional coordinates of all 4 atoms:
Te 0.0000 0.0000 0.9640  1 W 2.80, 4 Sr 3.10
Te 0.5000 0.5000 0.3324  4 W 2.96, 1 Sr 3.12
Sr 0.5000 0.5000 0.8109  6 Te 3.10-3.41
W 0.0000 0.0000 0.3927  5 Te 2.80-2.96

Properties
Offset from the most stable computed form = 0 meV per atom
Symmetry = No. 99



Entry 3:
## SrTe2W (GGA-PBEsol)

Data for SrTe2W after structural relaxation.

a = 4.8086 Å, b = 4.8086 Å, c = 9.1436 Å
α = 74.75°, β = 74.75°, γ = 60.00°
Closest atoms and distances in Å follow each position.
Fractional coordinates of all 4 atoms:
Te 0.0999 0.0999 0.7004  1 W 2.61
Te 0.9001 0.9001 0.2996  1 W 2.61
Sr 0.5000 0.5000 0.5000  6 Te 3.28
W 0.0000 0.0000 0.0000  2 Te 2.61

Properties
Offset from the most stable computed form = 481 meV per atom
Symmetry = No. 166



Entry 4:
## Sr2TeW (GGA-PBEsol)

Data for Sr2TeW after structural relaxation.

a = 4.3688 Å, b = 4.4262 Å, c = 8.5077 Å
α = 104.62°, β = 90.00°, γ = 119.57°
Closest atoms and distances in Å follow each position.
Fractional coordinates of all 4 atoms:
Te 0.0000 0.0000 0.5000  6 Sr 3.23
Sr 0.2526 0.5052 0.2563  3 Te 3.23, 3 W 3.29
Sr 0.7474 0.4948 0.7437  3 Te 3.23, 3 W 3.29
W 0.5000 0.0000 0.0000  6 Sr 3.29

Properties
Symmetry = No. 12



no.,final energy (eV per atom),E_form (uncorrected) (meV/atom),V (Å³/cell)
1,-5.311,-65,153
2,-5.482,193,113
3,-5.001,674,174
4,-4.611,643,137